MgAl2Ni (GGA-PBEsol, relaxed); calculated formation energy = -0.1435 eV per atom; final energy = -4.1579 eV per atom; volume = 14.62 Å³ per atom
1.0
3.872 0.000 0.000
0.000 3.872 0.000
0.000 0.000 3.901
Mg Al Ni
1 2 1
Direct
0.000 0.000 0.000 Mg
0.000 0.500 0.500 Al
0.500 0.000 0.500 Al
0.500 0.500 0.000 Ni

=====

MgAl2O4 (GGA-PBEsol, relaxed); final energy = -7.4092 eV per atom; E_form (uncorrected) = -21.0 eV per formula unit; volume = 9.49 Å³ per atom
1.0
5.719 0.000 0.000
-2.860 4.953 0.000
0.000 0.000 14.072
Mg Al O
6 12 24
Direct
0.000 0.000 0.000 Mg
0.000 0.000 0.243 Mg
0.000 0.000 0.623 Mg
0.333 0.667 0.331 Mg
0.333 0.667 0.957 Mg
0.667 0.333 0.666 Mg
0.005 0.503 0.122 Al
0.162 0.324 0.787 Al
0.162 0.838 0.787 Al
0.333 0.667 0.578 Al
0.338 0.169 0.453 Al
0.497 0.503 0.122 Al
0.497 0.995 0.122 Al
0.667 0.333 0.286 Al
0.667 0.333 0.907 Al
0.676 0.838 0.787 Al
0.831 0.169 0.453 Al
0.831 0.662 0.453 Al
0.000 0.000 0.388 O
0.000 0.000 0.861 O
0.014 0.507 0.863 O
0.163 0.327 0.530 O
0.163 0.837 0.530 O
0.179 0.359 0.051 O
0.179 0.821 0.051 O
0.306 0.153 0.715 O
0.333 0.667 0.195 O
0.333 0.667 0.710 O
0.374 0.187 0.200 O
0.493 0.507 0.863 O
0.493 0.986 0.863 O
0.519 0.038 0.375 O
0.519 0.481 0.375 O
0.641 0.821 0.051 O
0.667 0.333 0.039 O
0.667 0.333 0.525 O
0.673 0.837 0.530 O
0.813 0.187 0.200 O
0.813 0.626 0.200 O
0.847 0.153 0.715 O
0.847 0.694 0.715 O
0.962 0.481 0.375 O

=====

MgAl2O4 (GGA-PBEsol, relaxed); final energy = -7.4285 eV per atom; E_form (uncorrected) = -21.1 eV per formula unit; volume = 9.51 Å³ per atom
1.0
4.967 -2.862 0.000
4.967 2.862 0.000
-3.264 0.000 32.790
Mg Al O
14 28 56
Direct
0.000 0.500 0.500 Mg
0.054 0.054 0.161 Mg
0.089 0.089 0.267 Mg
0.194 0.194 0.587 Mg
0.232 0.232 0.696 Mg
0.339 0.339 0.018 Mg
0.375 0.375 0.125 Mg
0.500 0.000 0.500 Mg
0.625 0.625 0.875 Mg
0.661 0.661 0.982 Mg
0.768 0.768 0.304 Mg
0.806 0.806 0.413 Mg
0.911 0.911 0.733 Mg
0.946 0.946 0.839 Mg
0.000 0.000 0.000 Al
0.000 0.000 0.500 Al
0.071 0.572 0.214 Al
0.142 0.142 0.427 Al
0.143 0.143 0.929 Al
0.143 0.643 0.929 Al
0.212 0.716 0.644 Al
0.284 0.284 0.357 Al
0.284 0.788 0.356 Al
0.286 0.286 0.857 Al
0.357 0.857 0.071 Al
0.428 0.428 0.286 Al
0.428 0.428 0.786 Al
0.428 0.929 0.786 Al
0.478 0.478 0.445 Al
0.522 0.522 0.555 Al
0.572 0.071 0.214 Al
0.572 0.572 0.214 Al
0.572 0.572 0.714 Al
0.643 0.143 0.929 Al
0.714 0.714 0.143 Al
0.716 0.212 0.644 Al
0.716 0.716 0.643 Al
0.788 0.284 0.356 Al
0.857 0.357 0.071 Al
0.857 0.857 0.071 Al
0.858 0.858 0.573 Al
0.929 0.428 0.786 Al
0.001 0.447 0.895 O
0.020 0.020 0.611 O
0.022 0.570 0.611 O
0.034 0.034 0.101 O
0.109 0.109 0.326 O
0.124 0.570 0.819 O
0.125 0.125 0.819 O
0.147 0.589 0.324 O
0.161 0.161 0.038 O
0.161 0.715 0.038 O
0.164 0.164 0.529 O
0.168 0.696 0.539 O
0.252 0.252 0.756 O
0.267 0.713 0.248 O
0.268 0.268 0.248 O
0.285 0.839 0.962 O
0.287 0.733 0.752 O
0.304 0.832 0.461 O
0.310 0.310 0.459 O
0.319 0.319 0.958 O
0.395 0.395 0.184 O
0.411 0.853 0.676 O
0.412 0.412 0.677 O
0.430 0.876 0.181 O
0.430 0.978 0.389 O
0.447 0.001 0.895 O
0.447 0.447 0.895 O
0.463 0.463 0.389 O
0.537 0.537 0.611 O
0.553 0.553 0.105 O
0.553 0.999 0.105 O
0.570 0.022 0.611 O
0.570 0.124 0.819 O
0.588 0.588 0.323 O
0.589 0.147 0.324 O
0.605 0.605 0.816 O
0.681 0.681 0.042 O
0.690 0.690 0.541 O
0.696 0.168 0.539 O
0.713 0.267 0.248 O
0.715 0.161 0.038 O
0.732 0.732 0.752 O
0.733 0.287 0.752 O
0.748 0.748 0.244 O
0.832 0.304 0.461 O
0.836 0.836 0.471 O
0.839 0.285 0.962 O
0.839 0.839 0.962 O
0.853 0.411 0.676 O
0.875 0.875 0.181 O
0.876 0.430 0.181 O
0.891 0.891 0.674 O
0.966 0.966 0.899 O
0.978 0.430 0.389 O
0.980 0.980 0.389 O
0.999 0.553 0.105 O

=====

MgAl2O4 (GGA-PBEsol, relaxed); final energy = -7.3604 eV per atom; E_form (uncorrected) = -20.6 eV per formula unit; volume = 8.62 Å³ per atom
1.0
8.669 0.000 0.000
0.000 2.793 0.000
0.000 0.000 9.964
Mg Al O
4 8 16
Direct
0.245 0.250 0.153 Mg
0.255 0.750 0.653 Mg
0.745 0.250 0.347 Mg
0.755 0.750 0.847 Mg
0.059 0.250 0.384 Al
0.087 0.250 0.897 Al
0.413 0.750 0.397 Al
0.441 0.750 0.884 Al
0.559 0.250 0.116 Al
0.587 0.250 0.603 Al
0.913 0.750 0.103 Al
0.941 0.750 0.616 Al
0.035 0.750 0.784 O
0.088 0.250 0.571 O
0.120 0.750 0.029 O
0.201 0.750 0.331 O
0.299 0.250 0.831 O
0.380 0.250 0.529 O
0.412 0.750 0.071 O
0.465 0.250 0.284 O
0.535 0.750 0.716 O
0.588 0.250 0.929 O
0.620 0.750 0.471 O
0.701 0.750 0.169 O
0.799 0.250 0.669 O
0.880 0.250 0.971 O
0.912 0.750 0.429 O
0.965 0.250 0.216 O

=====

MgAl6O10 (GGA-PBEsol, relaxed); final energy = -7.6249 eV per atom; E_form (uncorrected) = -50.9 eV per formula unit; volume = 9.41 Å³ per atom
1.0
4.866 -2.844 0.000
4.866 2.844 0.000
-3.374 0.000 23.122
Mg Al O
4 24 40
Direct
0.000 0.000 0.000 Mg
0.060 0.060 0.156 Mg
0.203 0.203 0.602 Mg
0.410 0.410 0.208 Mg
0.035 0.531 0.081 Al
0.133 0.634 0.882 Al
0.150 0.150 0.389 Al
0.240 0.733 0.683 Al
0.268 0.268 0.761 Al
0.323 0.323 0.980 Al
0.336 0.838 0.484 Al
0.440 0.936 0.284 Al
0.470 0.470 0.363 Al
0.526 0.526 0.582 Al
0.530 0.530 0.081 Al
0.531 0.035 0.081 Al
0.605 0.605 0.809 Al
0.634 0.133 0.882 Al
0.664 0.664 0.956 Al
0.733 0.240 0.683 Al
0.733 0.733 0.683 Al
0.735 0.735 0.182 Al
0.808 0.808 0.410 Al
0.838 0.336 0.484 Al
0.867 0.867 0.558 Al
0.936 0.440 0.284 Al
0.937 0.937 0.284 Al
0.947 0.947 0.788 Al
0.002 0.498 0.935 O
0.051 0.608 0.237 O
0.073 0.606 0.729 O
0.077 0.077 0.731 O
0.092 0.092 0.244 O
0.173 0.173 0.521 O
0.196 0.196 0.036 O
0.202 0.650 0.036 O
0.205 0.702 0.537 O
0.269 0.764 0.828 O
0.277 0.805 0.331 O
0.282 0.282 0.333 O
0.295 0.295 0.836 O
0.379 0.379 0.126 O
0.401 0.401 0.637 O
0.406 0.850 0.638 O
0.422 0.862 0.130 O
0.473 0.967 0.429 O
0.476 0.476 0.931 O
0.498 0.002 0.935 O
0.498 0.498 0.439 O
0.584 0.584 0.729 O
0.606 0.073 0.729 O
0.606 0.606 0.238 O
0.608 0.051 0.237 O
0.650 0.202 0.036 O
0.680 0.680 0.533 O
0.683 0.683 0.036 O
0.702 0.205 0.537 O
0.764 0.269 0.828 O
0.787 0.787 0.330 O
0.789 0.789 0.829 O
0.805 0.277 0.331 O
0.850 0.406 0.638 O
0.862 0.422 0.130 O
0.864 0.864 0.130 O
0.888 0.888 0.638 O
0.967 0.473 0.429 O
0.969 0.969 0.919 O
0.993 0.993 0.431 O

=====

MgAl2O4 (GGA-PBEsol, relaxed); final energy = -7.3871 eV per atom; E_form (uncorrected) = -20.8 eV per formula unit; volume = 9.35 Å³ per atom
1.0
-2.830 2.867 4.034
2.830 -2.867 4.034
2.830 2.867 -4.034
Mg Al O
2 4 8
Direct
0.500 0.000 0.000 Mg
0.500 0.500 0.500 Mg
0.000 0.000 0.000 Al
0.115 0.365 0.750 Al
0.500 0.000 0.500 Al
0.885 0.635 0.250 Al
0.235 0.234 0.001 O
0.247 0.232 0.485 O
0.247 0.761 0.015 O
0.267 0.766 0.501 O
0.733 0.234 0.499 O
0.753 0.239 0.985 O
0.753 0.768 0.515 O
0.765 0.766 0.999 O